PrSi2Ag | GGA-PBE | optimized geometry

abc: 4.2655 6.9348 11.0212
angles: 90.00 90.00 90.00
With the nearest neighbours (Å) after each atom.
Sites, in units of the cell vectors:
Ag 0.7500 0.3502 0.0570  5 Si 2.56-2.73
Si 0.7500 0.3201 0.6456  2 Si 2.36-2.43, 2 Ag 2.63
Si 0.2500 0.0286 0.3372  2 Si 2.36-2.43, 1 Ag 2.56
Si 0.2500 0.1799 0.1456  2 Si 2.36-2.43, 2 Ag 2.63
Pr 0.7500 0.8572 0.1461  9 Si 3.09-3.37, 3 Ag 3.27-3.41
Si 0.7500 0.4714 0.8372  2 Si 2.36-2.43, 1 Ag 2.56
Si 0.7500 0.8201 0.8544  2 Si 2.36-2.43, 2 Ag 2.63
Pr 0.7500 0.3572 0.3539  9 Si 3.09-3.37, 3 Ag 3.27-3.41
Si 0.7500 0.9714 0.6628  2 Si 2.36-2.43, 1 Ag 2.56
Pr 0.2500 0.6428 0.6461  9 Si 3.09-3.37, 3 Ag 3.27-3.41
Ag 0.2500 0.6498 0.9430  5 Si 2.56-2.73
Ag 0.2500 0.1498 0.5570  5 Si 2.56-2.73
Si 0.2500 0.6799 0.3544  2 Si 2.36-2.43, 2 Ag 2.63
Si 0.2500 0.5286 0.1628  2 Si 2.36-2.43, 1 Ag 2.56
Ag 0.7500 0.8502 0.4430  5 Si 2.56-2.73
Pr 0.2500 0.1428 0.8539  9 Si 3.09-3.37, 3 Ag 3.27-3.41

## Properties
Crystal system = orthorhombic
Total magnetization = 0.0 μB/f.u.
Energy relative to the elements, uncorrected = -488.9 meV per atom
Space-group type = Pnma, No. 62